VASP calculation (PBE-GGA) on an optimized crystal structure of Mg3ZnB.

Unit cell a=4.893 b=4.893 c=4.893 alpha=90.00 beta=90.00 gamma=90.00
Space group Pm-3m (No. 221)
Asymmetric unit:
Mg  0.000  0.000  0.500 [3 per cell]
Zn  0.000  0.000  0.000 [1 per cell]
B  0.500  0.500  0.500 [1 per cell]

Properties
- energy of formation (meV/atom) = 1025
- calculated total energy (eV/atom) = -1.522
- polymorph energy (0 for the lowest one) (meV per atom) = 830


VASP calculation (PBE-GGA) on an optimized crystal structure of Ce3IrRu.

Unit cell a=12.253 b=5.319 c=7.579 alpha=90.00 beta=95.26 gamma=90.00
Space group C2/m (No. 12)
Asymmetric unit:
Ce  0.055  0.000  0.314 [4 per cell]
Ce  0.129  0.500  0.936 [4 per cell]
Ce  0.228  0.000  0.641 [4 per cell]
Ir  0.123  0.000  0.960 [4 per cell]
Ru  0.085  0.500  0.395 [4 per cell]

Properties
- energy of formation (meV/atom) = -332
- calculated total energy (eV/atom) = -7.520
- polymorph energy (0 for the lowest one) (meV per atom) = 150


VASP calculation (PBE-GGA) on an optimized crystal structure of Co2NiW.

Unit cell a=2.623 b=3.516 c=5.172 alpha=90.00 beta=90.00 gamma=90.00
Space group Pmmm (No. 47)
Asymmetric unit:
Co  0.000  0.000  0.236 [2 per cell]
Ni  0.500  0.500  0.000 [1 per cell]
W  0.500  0.500  0.500 [1 per cell]

Properties
- energy of formation (meV/atom) = 49
- calculated total energy (eV/atom) = -8.187
- polymorph energy (0 for the lowest one) (meV per atom) = 92


VASP calculation (PBE-GGA) on an optimized crystal structure of Er6Tl5Rh.

Unit cell a=16.425 b=7.496 c=5.272 alpha=90.00 beta=108.59 gamma=90.00
Space group C2/m (No. 12)
Asymmetric unit:
Er  0.000  0.226  0.000 [4 per cell]
Er  0.154  0.232  0.654 [8 per cell]
Tl  0.000  0.500  0.500 [2 per cell]
Tl  0.164  0.500  0.164 [4 per cell]
Tl  0.180  0.000  0.180 [4 per cell]
Rh  0.000  0.000  0.500 [2 per cell]

Properties
- energy of formation (meV/atom) = -394
- calculated total energy (eV/atom) = -4.274


VASP calculation (PBE-GGA) on an optimized crystal structure of KCu.

Unit cell a=4.5845 b=4.5845 c=4.1905 alpha=90.00 beta=90.00 gamma=120.00
Space group P-6m2 (No. 187)
Asymmetric unit:
K  0.0000  0.0000  0.0000 [1 per cell]
Cu  0.3333  0.6667  0.5000 [1 per cell]

Properties
- energy of formation (meV/atom) = 550
- calculated total energy (eV/atom) = -2.047
- polymorph energy (0 for the lowest one) (meV per atom) = 307


VASP calculation (PBE-GGA) on an optimized crystal structure of Pr2Nd3Pb2.

Unit cell a=17.374 b=3.624 c=8.328 alpha=90.00 beta=116.29 gamma=90.00
Space group C2/m (No. 12)
Asymmetric unit:
Pr  0.121  0.000  0.473 [4 per cell]
Nd  0.000  0.000  0.000 [2 per cell]
Nd  0.212  0.000  0.142 [4 per cell]
Pb  0.078  0.500  0.766 [4 per cell]

Properties
- energy of formation (meV/atom) = -185
- calculated total energy (eV/atom) = -4.654


VASP calculation (PBE-GGA) on an optimized crystal structure of PmY2Au3.

Unit cell a=3.611 b=3.611 c=11.045 alpha=90.00 beta=90.00 gamma=90.00
Space group P4/mmm (No. 123)
Asymmetric unit:
Pm  0.000  0.000  0.000 [1 per cell]
Y  0.000  0.000  0.336 [2 per cell]
Au  0.500  0.500  0.177 [2 per cell]
Au  0.500  0.500  0.500 [1 per cell]

Properties
- energy of formation (meV/atom) = -838
- calculated total energy (eV/atom) = -5.423


VASP calculation (PBE-GGA) on an optimized crystal structure of TbPm3PrSm.

Unit cell a=8.137 b=5.160 c=10.296 alpha=90.00 beta=108.50 gamma=90.00
Space group P2_1/m (No. 11)
Asymmetric unit:
Tb  0.000  0.250  0.125 [2 per cell]
Pm  0.331  0.250  0.958 [2 per cell]
Pm  0.332  0.250  0.458 [2 per cell]
Pm  0.332  0.750  0.709 [2 per cell]
Pr  0.332  0.750  0.208 [2 per cell]
Sm  0.001  0.250  0.625 [2 per cell]

Properties
- energy of formation (meV/atom) = 16
- calculated total energy (eV/atom) = -4.714